Density functional theory data (PBE-GGA) for a relaxed MnZnPb2 crystal.

Properties
DFT formation energy = 1.85 eV/f.u.
density of states at the Fermi level = 2.5 states/eV per cell

Cell and atoms, written as POSCAR:
```
MnZnPb2
1.0
0.000 3.670 3.670
3.670 0.000 3.670
3.670 3.670 0.000
Mn Zn Pb
1 1 2
Cartesian
0.000 0.000 0.000
1.835 1.835 1.835
3.670 3.670 3.670
5.505 5.505 5.505
```